{
  "formula": "Ti4GaOs",
  "functional": "GGA-PBE",
  "state": "optimized geometry",
  "lattice_angstrom": [[-2.545, 0.234, 1.805], [0.877, -3.051, 4.342], [-0.218, 6.766, 1.529]],
  "species": ["Ti", "Ga", "Ti", "Ti", "Os", "Ti"],
  "fractional_positions": [[0.680, 0.980, 0.661], [0.000, 0.000, 0.000], [0.158, 0.504, 0.180], [0.320, 0.020, 0.339], [0.500, 0.500, 0.500], [0.842, 0.496, 0.820]],
  "spacegroup": "No. 12",
  "formation_energy_ev_per_atom": -0.410,
  "m_tot_mub_per_atom": 0.00
}